1.
# Zn3PdPt2 GGA-PBE optimized geometry
# * calculated total energy: -24.544 eV/f.u.
# * formation energy: -0.575 eV per atom
# * calculated volume: 14.5 Å³ per atom
data_Zn3PdPt2
_symmetry_space_group_name_H-M 'P 4/m m m'
_symmetry_Int_Tables_number 123
_symmetry_space_group_name_Hall '-P 4 2'
_cell_length_a 2.885
_cell_length_b 2.885
_cell_length_c 10.480
_cell_angle_alpha 90.00
_cell_angle_beta 90.00
_cell_angle_gamma 90.00
loop_
_atom_site_label
_atom_site_type_symbol
_atom_site_fract_x
_atom_site_fract_y
_atom_site_fract_z
Zn1 Zn 0.000 0.000 0.000
Zn2 Zn 0.000 0.000 0.335
Pd1 Pd 0.500 0.500 0.500
Pt1 Pt 0.500 0.500 0.169

---

2.
# BaSrGa GGA-PBE optimized geometry
# * calculated total energy: -6.883 eV/f.u.
# * formation energy: -0.084 eV per atom
# * ΔE to the lowest computed polymorph: 0.184 eV per atom
# * calculated volume: 41.4 Å³ per atom
data_BaSrGa
_symmetry_space_group_name_H-M 'C 1 2/m 1'
_symmetry_Int_Tables_number 12
_cell_length_a 8.919
_cell_length_b 7.310
_cell_length_c 7.918
_cell_angle_alpha 90.00
_cell_angle_beta 105.80
_cell_angle_gamma 90.00
loop_
_symmetry_equiv_pos_as_xyz
'x,y,z'
'-x,-y,-z'
'-x,y,-z'
'x,-y,z'
'x+1/2,y+1/2,z'
'-x+1/2,-y+1/2,-z'
'-x+1/2,y+1/2,-z'
'x+1/2,-y+1/2,z'
loop_
_atom_site_label
_atom_site_type_symbol
_atom_site_fract_x
_atom_site_fract_y
_atom_site_fract_z
Ba1 Ba 0.250 0.250 0.000
Sr1 Sr 0.161 0.000 0.403
Ga1 Ga 0.000 0.500 0.325

---

3.
# CoTc3Br GGA-PBE optimized geometry
# * calculated total energy: -31.507 eV/f.u.
# * ΔE to the lowest computed polymorph: 0.000 eV per atom
# * formation energy (no corrections): 1674 meV per atom
# * calculated volume: 18.4 Å³ per atom
data_CoTc3Br
_symmetry_space_group_name_H-M 'P m -3 m'
_symmetry_Int_Tables_number 221
_symmetry_space_group_name_Hall '-P 4 2 3'
_cell_length_a 4.517
_cell_length_b 4.517
_cell_length_c 4.517
_cell_angle_alpha 90.00
_cell_angle_beta 90.00
_cell_angle_gamma 90.00
loop_
_atom_site_label
_atom_site_type_symbol
_atom_site_fract_x
_atom_site_fract_y
_atom_site_fract_z
Co1 Co 0.000 0.000 0.000
Tc1 Tc 0.000 0.000 0.500
Br1 Br 0.500 0.500 0.500